# 1
Here is an optimized crystal structure of NaCd2Pd3 from Alexandria. Energies are from PBE.

Structure (CIF):
```
data_NaCd2Pd3
_symmetry_space_group_name_H-M 'P 1'
_symmetry_Int_Tables_number 1
_symmetry_space_group_name_Hall 'P 1'
_cell_length_a 4.757
_cell_length_b 14.507
_cell_length_c 3.105
_cell_angle_alpha 90.00
_cell_angle_beta 90.00
_cell_angle_gamma 90.00
loop_
_atom_site_label
_atom_site_type_symbol
_atom_site_fract_x
_atom_site_fract_y
_atom_site_fract_z
Na1 Na 0.000 0.000 0.000
Na2 Na 0.500 0.500 0.000
Cd1 Cd 0.000 0.340 0.000
Cd2 Cd 0.000 0.660 0.000
Cd3 Cd 0.500 0.160 0.000
Cd4 Cd 0.500 0.840 0.000
Pd1 Pd 0.000 0.179 0.500
Pd2 Pd 0.000 0.500 0.500
Pd3 Pd 0.000 0.821 0.500
Pd4 Pd 0.500 0.000 0.500
Pd5 Pd 0.500 0.321 0.500
Pd6 Pd 0.500 0.679 0.500
```

Results
Calculated total energy = -3.42 eV/atom
Calculated formation energy = -0.30 eV per atom
D(E_F) = 3.793 states/eV per cell
Magnetization = 0.00 μB per formula unit
SG = Cmmm
Offset from the most stable computed form = 0 meV per atom

---

# 2
Here is an optimized crystal structure of YRe4Br from Alexandria. Energies are from PBE.

Structure (CIF):
```
data_YRe4Br
_symmetry_space_group_name_H-M 'P 1'
_symmetry_Int_Tables_number 1
_symmetry_space_group_name_Hall 'P 1'
_cell_length_a 5.381
_cell_length_b 5.381
_cell_length_c 5.381
_cell_angle_alpha 60.00
_cell_angle_beta 60.00
_cell_angle_gamma 60.00
loop_
_atom_site_label
_atom_site_type_symbol
_atom_site_fract_x
_atom_site_fract_y
_atom_site_fract_z
Y1 Y 0.000 0.000 0.000
Re1 Re 0.376 0.376 0.376
Re2 Re 0.376 0.376 0.873
Re3 Re 0.376 0.873 0.376
Re4 Re 0.873 0.376 0.376
Br1 Br 0.750 0.750 0.750
```

Results
Calculated total energy = -9.00 eV/atom
D(E_F) = 6.831 states/eV per cell
Magnetization = 0.00 μB per formula unit
Energy relative to the elements, uncorrected = 3.904 eV/f.u.
SG = F-43m